Ru5C | PBE-GGA | optimized geometry

Calculated values
Total magnetization   0.001 μB/f.u.
Theoretical density   11.378 g/cm³
Total energy   -8.950 eV/atom
Formation enthalpy at 0 K   317 meV per atom

a b c (Å): 6.737 6.737 2.730
angles (deg): 90.00 90.00 142.46
Sites, in units of the cell vectors:
Ru  0.376  0.624  0.500
Ru  0.186  0.814  0.000
Ru  0.000  0.000  0.500
Ru  0.814  0.186  0.000
Ru  0.624  0.376  0.500
C  0.500  0.500  0.000